# 1
## CsTa2TiBe (PBEsol)

Data for a relaxed structure of CsTa2TiBe.

Lattice parameters (Å, degrees): 4.796 4.796 5.562 90.00 90.00 90.00
Space group P4/mmm (No. 123)
Unique sites:
Cs: 0.000 0.000 0.000
Ta: 0.000 0.500 0.500
Ti: 0.000 0.000 0.500
Be: 0.500 0.500 0.000

Summary:
Energy, eV/atom: -5.41
Total magnetic moment, μB per formula unit: 1.11
Formation enthalpy at 0 K, eV/atom: 2.26

# 2
## KNi2Hg (PBEsol)

Data for a relaxed structure of KNi2Hg.

Lattice parameters (Å, degrees): 3.994 3.994 8.721 90.00 90.00 90.00
Space group I-4m2 (No. 119)
Unique sites:
K: 0.000 0.000 0.000
Ni: 0.000 0.000 0.500
Ni: 0.000 0.500 0.250
Hg: 0.000 0.500 0.750

Summary:
Energy, eV/atom: -2.71
Total magnetic moment, μB per formula unit: 0.58
Formation enthalpy at 0 K, eV/atom: 0.80

# 3
## Cr3GaPb (PBEsol)

Data for a relaxed structure of Cr3GaPb.

Lattice parameters (Å, degrees): 5.162 5.162 5.162 90.00 90.00 90.00
Space group Pm-3m (No. 221)
Unique sites:
Cr: 0.000 0.000 0.500
Ga: 0.500 0.500 0.500
Pb: 0.000 0.000 0.000

Summary:
Energy, eV/atom: -5.87
Total magnetic moment, μB per formula unit: 13.20
Formation enthalpy at 0 K, eV/atom: 1.74

# 4
## AlSi2W (PBEsol)

Data for a relaxed structure of AlSi2W.

Lattice parameters (Å, degrees): 2.800 2.800 7.462 90.00 90.00 90.00
Space group P4/mmm (No. 123)
Unique sites:
Al: 0.000 0.000 0.000
Si: 0.500 0.500 0.263
W: 0.000 0.000 0.500

Summary:
Raw formation energy, eV per atom: 0.177
Energy, eV/atom: -7.17
Total magnetic moment, μB per formula unit: 0.00

# 5
## SrSiSb (PBEsol)

Data for a relaxed structure of SrSiSb.

Lattice parameters (Å, degrees): 4.6906 4.6906 4.3904 90.00 90.00 120.00
Space group P3m1 (No. 156)
Unique sites:
Sr: 0.0000 0.0000 0.0000
Si: 0.6667 0.3333 0.5009
Sb: 0.3333 0.6667 0.4994

Summary:
Raw formation energy, eV per atom: -0.358
Energy, eV/atom: -4.41
Total magnetic moment, μB per formula unit: 0.00

# 6
## TaNi4Ir (PBEsol)

Data for a relaxed structure of TaNi4Ir.

Lattice parameters (Å, degrees): 6.570 6.570 6.570 90.00 90.00 90.00
Space group F-43m (No. 216)
Unique sites:
Ta: 0.000 0.000 0.000
Ni: 0.124 0.124 0.624
Ir: 0.250 0.250 0.250

Summary:
Energy, eV/atom: -8.16
Total magnetic moment, μB per formula unit: 0.00
Formation enthalpy at 0 K, eV/atom: -0.33

# 7
## TlAgTe (PBEsol)

Data for a relaxed structure of TlAgTe.

Lattice parameters (Å, degrees): 4.6820 4.6820 4.5411 90.00 90.00 120.00
Space group P-6m2 (No. 187)
Unique sites:
Tl: 0.0000 0.0000 0.0000
Ag: 0.3333 0.6667 0.5000
Te: 0.6667 0.3333 0.5000

Summary:
Raw formation energy, eV per atom: -0.128
Energy, eV/atom: -3.28
Offset from the most stable computed form, meV/atom: 42
Total magnetic moment, μB per formula unit: 0.00

# 8
## Hf3CoOs (PBEsol)

Data for a relaxed structure of Hf3CoOs.

Lattice parameters (Å, degrees): 4.584 4.584 4.584 90.00 90.00 90.00
Space group Pm-3m (No. 221)
Unique sites:
Hf: 0.000 0.000 0.500
Co: 0.000 0.000 0.000
Os: 0.500 0.500 0.500

Summary:
Energy, eV/atom: -9.83
Total magnetic moment, μB per formula unit: 0.00
Formation enthalpy at 0 K, eV/atom: 0.47